# 1
Here is crystalline U2TlI8 at its relaxed geometry from Alexandria via LeMat-Bulk. Energies are from GGA-PBE.

Lattice parameters (Å, degrees): 8.1949 9.8076 9.8076 59.87 82.99 82.99
Sites, in units of the cell vectors:
U (0.6366, 0.8156, 0.8156)
U (0.3634, 0.1844, 0.1844)
Tl (0.0000, 0.0000, 0.0000)
I (0.2483, 0.3254, 0.8667)
I (0.7517, 0.1333, 0.6746)
I (0.2768, 0.8186, 0.8186)
I (0.7232, 0.1814, 0.1814)
I (0.2483, 0.8667, 0.3254)
I (0.7517, 0.6746, 0.1333)
I (0.7779, 0.6495, 0.6495)
I (0.2221, 0.3505, 0.3505)

- distance to the lowest polymorph of the same formula (meV per atom) = 23.8
- ρ (g cm⁻³) = 4.172
- formation energy without anion corrections (kcal/mol of atoms) = -14.73



# 2
Here is crystalline UTl2I7 at its relaxed geometry from Alexandria via LeMat-Bulk. Energies are from GGA-PBE.

Lattice parameters (Å, degrees): 9.3698 12.3901 10.7917 84.18 64.27 67.78
Sites, in units of the cell vectors:
U (0.9419, 0.2500, 0.7500)
U (0.0581, 0.7500, 0.2500)
Tl (0.6760, 0.9646, 0.6540)
Tl (0.7053, 0.4646, 0.1540)
Tl (0.2947, 0.5354, 0.8460)
Tl (0.3240, 0.0354, 0.3460)
I (0.7258, 0.5049, 0.8311)
I (0.9383, 0.0049, 0.3311)
I (0.2208, 0.8203, 0.9662)
I (0.3468, 0.1776, 0.5783)
I (0.6205, 0.2500, 0.7500)
I (0.9928, 0.3203, 0.4662)
I (0.1027, 0.3224, 0.9217)
I (0.8973, 0.6776, 0.0783)
I (0.0072, 0.6797, 0.5339)
I (0.3795, 0.7500, 0.2500)
I (0.6532, 0.8224, 0.4217)
I (0.7792, 0.1797, 0.0338)
I (0.0617, 0.9951, 0.6689)
I (0.2742, 0.4951, 0.1689)

- ρ (g cm⁻³) = 4.893
- formation energy without anion corrections (kcal/mol of atoms) = -14.93



# 3
Here is crystalline UTl4I7 at its relaxed geometry from Alexandria via LeMat-Bulk. Energies are from GGA-PBE.

Lattice parameters (Å, degrees): 6.0388 8.4873 12.5162 114.75 103.96 90.00
Sites, in units of the cell vectors:
U (0.0000, 0.0000, 0.0000)
Tl (0.4169, 0.4822, 0.8339)
Tl (0.5831, 0.5178, 0.1661)
Tl (0.3082, 0.8821, 0.6163)
Tl (0.6918, 0.1179, 0.3837)
I (0.1189, 0.3483, 0.2377)
I (0.8811, 0.6517, 0.7623)
I (0.9204, 0.2055, 0.8409)
I (0.0796, 0.7945, 0.1591)
I (0.7265, 0.7797, 0.4530)
I (0.5000, 0.0000, 0.0000)
I (0.2735, 0.2203, 0.5470)

- ρ (g cm⁻³) = 5.747
- formation energy without anion corrections (kcal/mol of atoms) = -15.12



# 4
Here is crystalline UTlI6 at its relaxed geometry from Alexandria via LeMat-Bulk. Energies are from GGA-PBE.

Lattice parameters (Å, degrees): 7.9582 7.9573 8.5681 62.28 62.22 59.92
Sites, in units of the cell vectors:
U (0.0000, 0.0000, 0.0000)
Tl (0.5000, 0.5000, 0.5000)
I (0.0462, 0.3945, 0.7670)
I (0.7921, 0.0464, 0.7675)
I (0.6051, 0.2083, 0.2330)
I (0.2079, 0.9536, 0.2325)
I (0.9538, 0.6055, 0.2330)
I (0.3949, 0.7917, 0.7670)

- distance to the lowest polymorph of the same formula (meV per atom) = 5.4
- ρ (g cm⁻³) = 5.049
- formation energy without anion corrections (kcal/mol of atoms) = -16.90



# 5
Here is crystalline U2TlI8 at its relaxed geometry from Alexandria via LeMat-Bulk. Energies are from GGA-PBE.

Lattice parameters (Å, degrees): 6.2013 10.6318 10.6331 120.00 90.00 90.00
Sites, in units of the cell vectors:
I (0.2494, 0.6666, 0.3333)
I (0.7506, 0.3334, 0.6667)
I (0.7417, 0.8254, 0.1727)
I (0.2582, 0.1728, 0.3473)
I (0.2583, 0.6527, 0.8255)
I (0.2583, 0.1746, 0.8273)
I (0.7418, 0.8272, 0.6526)
I (0.7417, 0.3473, 0.1745)
Tl (0.0000, 0.0000, 0.0000)
U (0.2424, 0.3334, 0.6667)
U (0.7576, 0.6666, 0.3333)

- distance to the lowest polymorph of the same formula (meV per atom) = 0.0
- ρ (g cm⁻³) = 4.638
- formation energy without anion corrections (kcal/mol of atoms) = -15.28



# 6
Here is crystalline UTlI6 at its relaxed geometry from Alexandria via LeMat-Bulk. Energies are from GGA-PBE.

Lattice parameters (Å, degrees): 7.8574 7.8574 7.9881 98.51 98.51 117.29
Sites, in units of the cell vectors:
U (0.5000, 0.5000, 0.5000)
Tl (0.0000, 0.0000, 0.0000)
I (0.5472, 0.8588, 0.7245)
I (0.8588, 0.5472, 0.7245)
I (0.1412, 0.4528, 0.2755)
I (0.4528, 0.1412, 0.2755)
I (0.2607, 0.2607, 0.7109)
I (0.7393, 0.7393, 0.2891)

- distance to the lowest polymorph of the same formula (meV per atom) = 0.0
- ρ (g cm⁻³) = 4.758
- formation energy without anion corrections (kcal/mol of atoms) = -17.02



# 7
Here is crystalline TlV2I6 at its relaxed geometry from Alexandria via LeMat-Bulk. Energies are from GGA-PBE.

Lattice parameters (Å, degrees): 7.5820 7.3268 7.3268 120.00 90.00 90.00
Sites, in units of the cell vectors:
Tl (0.0000, 0.0000, 0.0000)
V (0.5000, 0.6667, 0.3333)
V (0.5000, 0.3333, 0.6667)
I (0.7105, 0.6244, 0.6244)
I (0.2895, 0.6244, 0.0000)
I (0.2895, 0.0000, 0.6244)
I (0.7105, 0.3756, 0.0000)
I (0.2895, 0.3756, 0.3756)
I (0.7105, 0.0000, 0.3756)

- ρ (g cm⁻³) = 5.030
- formation energy without anion corrections (kcal/mol of atoms) = -11.60



# 8
Here is crystalline TlVI3 at its relaxed geometry from Alexandria via LeMat-Bulk. Energies are from GGA-PBE.

Lattice parameters (Å, degrees): 7.0286 8.1052 8.0433 120.25 100.26 90.00
Sites, in units of the cell vectors:
Tl (0.3021, 0.2890, 0.5780)
Tl (0.6979, 0.7110, 0.4220)
V (0.0000, 0.0000, 0.0000)
V (0.5000, 0.0000, 0.0000)
I (0.7150, 0.6789, 0.8357)
I (0.7150, 0.1568, 0.8357)
I (0.1825, 0.8343, 0.6687)
I (0.8175, 0.1657, 0.3313)
I (0.2850, 0.8432, 0.1643)
I (0.2850, 0.3211, 0.1643)

- distance to the lowest polymorph of the same formula (meV per atom) = 0.0
- ρ (g cm⁻³) = 5.454
- formation energy without anion corrections (kcal/mol of atoms) = -11.28



# 9
Here is crystalline Tl2VI4 at its relaxed geometry from Alexandria via LeMat-Bulk. Energies are from GGA-PBE.

Lattice parameters (Å, degrees): 5.3331 5.3331 10.8778 75.81 75.81 90.00
Sites, in units of the cell vectors:
I (0.3217, 0.3217, 0.3566)
I (0.6783, 0.6783, 0.6434)
I (0.0000, 0.5000, 0.0000)
I (0.5000, 0.0000, 0.0000)
Tl (0.1660, 0.1660, 0.6680)
Tl (0.8340, 0.8340, 0.3320)
V (0.0000, 0.0000, 0.0000)

- ρ (g cm⁻³) = 5.535
- formation energy without anion corrections (kcal/mol of atoms) = -6.97



# 10
Here is crystalline Tl3V5I12 at its relaxed geometry from Alexandria via LeMat-Bulk. Energies are from GGA-PBE.

Lattice parameters (Å, degrees): 15.8276 15.8276 15.8276 109.47 109.47 109.47
Sites, in units of the cell vectors:
Tl (0.7500, 0.3750, 0.1250)
Tl (0.8750, 0.7500, 0.1250)
Tl (0.3750, 0.7500, 0.6250)
Tl (0.2500, 0.1250, 0.3750)
Tl (0.8750, 0.1250, 0.2500)
Tl (0.3750, 0.6250, 0.2500)
Tl (0.6250, 0.3750, 0.7500)
Tl (0.1250, 0.8750, 0.7500)
Tl (0.7500, 0.8750, 0.6250)
Tl (0.6250, 0.2500, 0.3750)
Tl (0.1250, 0.2500, 0.8750)
Tl (0.2500, 0.6250, 0.8750)
V (0.1250, 0.3750, 0.2500)
V (0.0000, 0.5000, 0.0000)
V (0.0000, 0.0000, 0.0000)
V (0.3750, 0.2500, 0.1250)
V (0.5000, 0.0000, 0.5000)
V (0.5000, 0.5000, 0.0000)
V (0.1250, 0.7500, 0.3750)
V (0.7500, 0.1250, 0.8750)
V (0.7500, 0.6250, 0.3750)
V (0.3750, 0.1250, 0.7500)
V (0.6250, 0.8750, 0.2500)
V (0.5000, 0.5000, 0.5000)
V (0.5000, 0.0000, 0.0000)
V (0.0000, 0.0000, 0.5000)
V (0.2500, 0.3750, 0.6250)
V (0.2500, 0.8750, 0.1250)
V (0.0000, 0.5000, 0.5000)
V (0.8750, 0.2500, 0.6250)
V (0.6250, 0.7500, 0.8750)
V (0.8750, 0.6250, 0.7500)
I (0.6965, 0.1104, 0.0184)
I (0.3219, 0.5184, 0.4080)
I (0.9816, 0.3896, 0.3035)
I (0.5184, 0.1965, 0.1104)
I (0.5861, 0.6965, 0.6781)
I (0.9816, 0.5920, 0.1781)
I (0.3219, 0.8035, 0.4139)
I (0.0920, 0.9139, 0.1104)
I (0.5920, 0.9816, 0.6781)
I (0.6965, 0.5861, 0.1781)
I (0.8035, 0.4816, 0.3896)
I (0.8219, 0.9080, 0.0184)
I (0.1104, 0.6965, 0.5184)
I (0.3896, 0.4080, 0.0861)
I (0.0861, 0.9080, 0.3896)
I (0.4139, 0.1104, 0.5920)
I (0.0861, 0.1781, 0.1965)
I (0.4816, 0.6781, 0.0920)
I (0.8219, 0.9139, 0.3035)
I (0.1104, 0.4139, 0.0920)
I (0.3896, 0.9816, 0.8035)
I (0.5920, 0.6104, 0.4139)
I (0.9080, 0.8219, 0.5184)
I (0.8035, 0.3219, 0.9139)
I (0.4080, 0.3896, 0.5861)
I (0.0920, 0.1781, 0.4816)
I (0.1965, 0.6781, 0.0861)
I (0.1781, 0.0861, 0.6965)
I (0.6104, 0.0184, 0.1965)
I (0.8896, 0.5861, 0.9080)
I (0.5184, 0.3219, 0.9080)
I (0.5861, 0.8896, 0.4080)
I (0.9139, 0.8219, 0.8035)
I (0.9139, 0.0920, 0.6104)
I (0.8896, 0.3035, 0.4816)
I (0.1781, 0.0920, 0.9816)
I (0.6104, 0.5920, 0.9139)
I (0.4080, 0.0184, 0.3219)
I (0.3035, 0.4139, 0.8219)
I (0.1965, 0.5184, 0.6104)
I (0.9080, 0.0861, 0.8896)
I (0.6781, 0.1965, 0.5861)
I (0.4816, 0.8035, 0.8896)
I (0.0184, 0.4080, 0.8219)
I (0.4139, 0.3035, 0.3219)
I (0.0184, 0.6104, 0.6965)
I (0.6781, 0.4816, 0.5920)
I (0.3035, 0.8896, 0.9816)

- ρ (g cm⁻³) = 5.203
- formation energy without anion corrections (kcal/mol of atoms) = -6.84



# 11
Here is crystalline TlVI3 at its relaxed geometry from Alexandria via LeMat-Bulk. Energies are from GGA-PBE.

Lattice parameters (Å, degrees): 5.6710 5.6710 5.6710 90.00 90.00 90.00
Sites, in units of the cell vectors:
I (0.0000, 0.5000, 0.0000)
I (0.0000, 0.0000, 0.5000)
I (0.5000, 0.0000, 0.0000)
Tl (0.5000, 0.5000, 0.5000)
V (0.0000, 0.0000, 0.0000)

- distance to the lowest polymorph of the same formula (meV per atom) = 125.1
- ρ (g cm⁻³) = 5.791
- formation energy without anion corrections (kcal/mol of atoms) = -8.39



# 12
Here is crystalline TlV3I at its relaxed geometry from Alexandria via LeMat-Bulk. Energies are from GGA-PBE.

Lattice parameters (Å, degrees): 5.2183 5.2183 5.2183 90.00 90.00 90.00
Sites, in units of the cell vectors:
I (0.5000, 0.5000, 0.5000)
Tl (0.0000, 0.0000, 0.0000)
V (0.0000, 0.5000, 0.0000)
V (0.0000, 0.0000, 0.5000)
V (0.5000, 0.0000, 0.0000)

- ρ (g cm⁻³) = 5.657
- formation energy without anion corrections (kcal/mol of atoms) = 35.46